CeMg3Ag | PBE | relaxed

```
data_CeMg3Ag
_chemical_formula_sum 'Ce2 Mg6 Ag2'
_cell_length_a 5.520
_cell_length_b 6.912
_cell_length_c 6.332
_cell_angle_alpha 90.00
_cell_angle_beta 90.00
_cell_angle_gamma 90.00
_space_group_name_H-M_alt 'P 1'
_space_group_IT_number 1
_space_group_name_Hall 'P 1'
loop_
_atom_site_label
_atom_site_type_symbol
_atom_site_fract_x
_atom_site_fract_y
_atom_site_fract_z
Mg1 Mg 0.250 0.658 0.000
Ce1 Ce 0.750 0.122 0.500
Mg2 Mg 0.750 0.694 0.740
Mg3 Mg 0.250 0.306 0.740
Mg4 Mg 0.750 0.694 0.260
Ce2 Ce 0.250 0.878 0.500
Ag1 Ag 0.500 0.000 0.000
Mg5 Mg 0.750 0.342 0.000
Ag2 Ag 0.000 0.000 0.000
Mg6 Mg 0.250 0.306 0.260
```

Computed properties:
Its space-group type is Pmma (51). For the energy above the most stable polymorph in this dataset, the calculation gives 90 meV/atom. The magnetic moment is 1.0 μB per formula unit.

KBeCl2 | PBE | relaxed

```
data_KBeCl2
_chemical_formula_sum 'K1 Be1 Cl2'
_cell_length_a 3.639
_cell_length_b 4.912
_cell_length_c 6.003
_cell_angle_alpha 73.31
_cell_angle_beta 90.00
_cell_angle_gamma 90.00
_space_group_name_H-M_alt 'P 1'
_space_group_IT_number 1
_space_group_name_Hall 'P 1'
loop_
_atom_site_label
_atom_site_type_symbol
_atom_site_fract_x
_atom_site_fract_y
_atom_site_fract_z
Cl1 Cl 0.500 0.072 0.253
Cl2 Cl 0.000 0.850 0.872
Be1 Be 0.500 0.073 0.920
K1 K 0.000 0.504 0.454
```

Computed properties:
The value obtained for the formation energy without anion corrections is -3.936 eV/f.u. Its space-group type is Pm (6). For the energy above the most stable polymorph in this dataset, the calculation gives 0 meV/atom. The magnetic moment is 1.0 μB per formula unit.

YAl2Au8 | PBE | relaxed

```
data_YAl2Au8
_chemical_formula_sum 'Y1 Al2 Au8'
_cell_length_a 5.708
_cell_length_b 5.708
_cell_length_c 7.670
_cell_angle_alpha 90.00
_cell_angle_beta 90.00
_cell_angle_gamma 90.00
_space_group_name_H-M_alt 'P 1'
_space_group_IT_number 1
_space_group_name_Hall 'P 1'
loop_
_atom_site_label
_atom_site_type_symbol
_atom_site_fract_x
_atom_site_fract_y
_atom_site_fract_z
Au1 Au 0.755 0.245 0.781
Au2 Au 0.245 0.245 0.781
Au3 Au 0.755 0.755 0.219
Au4 Au 0.245 0.755 0.219
Au5 Au 0.755 0.755 0.781
Au6 Au 0.245 0.245 0.219
Au7 Au 0.755 0.245 0.219
Al1 Al 0.000 0.500 0.000
Y1 Y 0.500 0.500 0.500
Al2 Al 0.500 0.000 0.000
Au8 Au 0.245 0.755 0.781
```

Computed properties:
Its space-group type is P4/mmm (123). For the energy above the most stable polymorph in this dataset, the calculation gives 190 meV/atom. The magnetic moment is 0.0 μB per formula unit.

Pu3AuSe2 | PBE | relaxed

```
data_Pu3AuSe2
_chemical_formula_sum 'Pu6 Au2 Se4'
_cell_length_a 7.245
_cell_length_b 7.334
_cell_length_c 7.334
_cell_angle_alpha 119.66
_cell_angle_beta 99.64
_cell_angle_gamma 99.64
_space_group_name_H-M_alt 'P 1'
_space_group_IT_number 1
_space_group_name_Hall 'P 1'
loop_
_atom_site_label
_atom_site_type_symbol
_atom_site_fract_x
_atom_site_fract_y
_atom_site_fract_z
Au1 Au 0.750 0.421 0.579
Pu1 Pu 0.501 0.674 0.849
Pu2 Pu 0.500 0.000 0.500
Au2 Au 0.250 0.579 0.421
Se1 Se 0.750 0.747 0.253
Pu3 Pu 0.001 0.849 0.674
Pu4 Pu 0.999 0.151 0.326
Pu5 Pu 0.000 0.500 0.000
Se2 Se 0.750 0.083 0.917
Se3 Se 0.250 0.917 0.083
Se4 Se 0.250 0.253 0.747
Pu6 Pu 0.499 0.326 0.151
```

Computed properties:
The value obtained for the formation energy without anion corrections is -6.083 eV/f.u. Its space-group type is C2/c (15). The magnetic moment is 18.7 μB per formula unit.

Number 1: calculated density 4.4 g/cm3. Number 2: calculated density 1.9 g/cm3. Number 3: calculated density 11.4 g/cm3. Number 4: calculated density 11.3 g/cm3.